Material: ZrSi2H
Method: DFT, PBE
State: optimized geometry

Lattice parameters (Å, degrees): 4.8079 4.8079 6.0114 66.43 66.43 90.00
Closest atoms and distances in Å follow each position.
Atoms (fractional coordinates):
Zr 0.7500 0.2500 0.5000  8 Si 2.96
Si 0.3745 0.6250 0.2500  2 H 1.73
Si 0.3750 0.6245 0.7500  2 H 1.73
H 0.2500 0.7500 0.5000  4 Si 1.73
Zr 0.0000 0.0000 0.0000  8 Si 2.96
Si 0.3755 0.1250 0.2500  2 H 1.73
H 0.5000 0.5000 0.0000  4 Si 1.73
Si 0.8750 0.6255 0.7500  2 H 1.73

Calculated values
Its symmetry is No. 141. The density of states at the Fermi level comes out at 2.474 states/eV per cell. The relative energy among the computed polymorphs comes out at 0.000 kcal/mol of atoms.